No. 1
A plane-wave DFT calculation with PBE was carried out for a geometry-optimized Mg3Hg2Bi structure.

a = 5.084 Å, b = 14.708 Å, c = 3.763 Å
α = 90.00°, β = 90.00°, γ = 90.00°
Fractional positions:
Mg (0.000, 0.000, 0.000)
Mg (0.000, 0.324, 0.000)
Mg (0.000, 0.676, 0.000)
Mg (0.500, 0.176, 0.000)
Mg (0.500, 0.500, 0.000)
Mg (0.500, 0.824, 0.000)
Hg (0.000, 0.166, 0.500)
Hg (0.000, 0.834, 0.500)
Hg (0.500, 0.334, 0.500)
Hg (0.500, 0.666, 0.500)
Bi (0.000, 0.500, 0.500)
Bi (0.500, 0.000, 0.500)



No. 2
A plane-wave DFT calculation with PBE was carried out for a geometry-optimized MgHgBi structure.

- Distance to the lowest polymorph of the same formula: 41.0 meV/atom

a = 6.980 Å, b = 6.980 Å, c = 6.980 Å
α = 90.00°, β = 90.00°, γ = 90.00°
Fractional positions:
Mg (0.000, 0.000, 0.000)
Mg (0.000, 0.500, 0.500)
Mg (0.500, 0.000, 0.500)
Mg (0.500, 0.500, 0.000)
Hg (0.250, 0.250, 0.250)
Hg (0.250, 0.750, 0.750)
Hg (0.750, 0.250, 0.750)
Hg (0.750, 0.750, 0.250)
Bi (0.250, 0.250, 0.750)
Bi (0.250, 0.750, 0.250)
Bi (0.750, 0.250, 0.250)
Bi (0.750, 0.750, 0.750)



No. 3
A plane-wave DFT calculation with PBE was carried out for a geometry-optimized Mg2Hg3Bi structure.

a = 3.437 Å, b = 3.437 Å, c = 12.040 Å
α = 90.00°, β = 90.00°, γ = 90.00°
Fractional positions:
Mg (0.000, 0.000, 0.154)
Mg (0.000, 0.000, 0.846)
Hg (0.500, 0.500, 0.000)
Hg (0.500, 0.500, 0.302)
Hg (0.500, 0.500, 0.698)
Bi (0.000, 0.000, 0.500)



No. 4
A plane-wave DFT calculation with PBE was carried out for a geometry-optimized MgHgBi structure.

- Distance to the lowest polymorph of the same formula: 34.9 meV/atom

a = 9.347 Å, b = 9.347 Å, c = 9.347 Å
α = 29.07°, β = 29.07°, γ = 29.07°
Fractional positions:
Mg (0.000, 0.000, 0.000)
Mg (0.500, 0.500, 0.500)
Hg (0.120, 0.120, 0.120)
Hg (0.880, 0.880, 0.880)
Bi (0.386, 0.386, 0.386)
Bi (0.614, 0.614, 0.614)



No. 5
A plane-wave DFT calculation with PBE was carried out for a geometry-optimized Mg5Hg4Bi structure.

a = 3.633 Å, b = 3.633 Å, c = 17.093 Å
α = 90.00°, β = 90.00°, γ = 90.00°
Fractional positions:
Mg (0.000, 0.000, 0.000)
Mg (0.000, 0.000, 0.190)
Mg (0.000, 0.000, 0.380)
Mg (0.000, 0.000, 0.620)
Mg (0.000, 0.000, 0.810)
Hg (0.500, 0.500, 0.096)
Hg (0.500, 0.500, 0.288)
Hg (0.500, 0.500, 0.712)
Hg (0.500, 0.500, 0.904)
Bi (0.500, 0.500, 0.500)



No. 6
A plane-wave DFT calculation with PBE was carried out for a geometry-optimized Mg2Hg2Bi structure.

- Distance to the lowest polymorph of the same formula: 0.0 meV/atom

a = 8.384 Å, b = 8.384 Å, c = 3.403 Å
α = 90.00°, β = 90.00°, γ = 90.00°
Fractional positions:
Mg (0.164, 0.336, 0.000)
Mg (0.336, 0.836, 0.000)
Mg (0.664, 0.164, 0.000)
Mg (0.836, 0.664, 0.000)
Hg (0.132, 0.632, 0.500)
Hg (0.368, 0.132, 0.500)
Hg (0.632, 0.868, 0.500)
Hg (0.868, 0.368, 0.500)
Bi (0.000, 0.000, 0.500)
Bi (0.500, 0.500, 0.500)



No. 7
A plane-wave DFT calculation with PBE was carried out for a geometry-optimized MgHgBi structure.

- Distance to the lowest polymorph of the same formula: 29.9 meV/atom

a = 4.133 Å, b = 5.417 Å, c = 7.332 Å
α = 90.00°, β = 106.20°, γ = 90.00°
Fractional positions:
Mg (0.086, 0.000, 0.174)
Mg (0.914, 0.500, 0.826)
Hg (0.441, 0.912, 0.882)
Hg (0.559, 0.412, 0.118)
Bi (0.234, 0.560, 0.470)
Bi (0.766, 0.060, 0.530)



No. 8
A plane-wave DFT calculation with PBE was carried out for a geometry-optimized Mg6Hg2Bi structure.

a = 9.130 Å, b = 9.130 Å, c = 5.373 Å
α = 100.39°, β = 100.39°, γ = 73.37°
Fractional positions:
Mg (0.061, 0.827, 0.970)
Mg (0.150, 0.387, 0.133)
Mg (0.173, 0.939, 0.530)
Mg (0.249, 0.515, 0.686)
Mg (0.387, 0.150, 0.633)
Mg (0.485, 0.751, 0.814)
Mg (0.515, 0.249, 0.186)
Mg (0.613, 0.850, 0.367)
Mg (0.751, 0.485, 0.314)
Mg (0.827, 0.061, 0.470)
Mg (0.850, 0.613, 0.867)
Mg (0.939, 0.173, 0.030)
Hg (0.037, 0.294, 0.580)
Hg (0.294, 0.037, 0.080)
Hg (0.706, 0.963, 0.920)
Hg (0.963, 0.706, 0.420)
Bi (0.376, 0.624, 0.250)
Bi (0.624, 0.376, 0.750)



No. 9
A plane-wave DFT calculation with PBE was carried out for a geometry-optimized Mg5HgBi3 structure.

a = 8.546 Å, b = 8.546 Å, c = 13.724 Å
α = 90.00°, β = 90.00°, γ = 147.29°
Fractional positions:
Mg (0.000, 0.000, 0.000)
Mg (0.000, 0.000, 0.500)
Mg (0.192, 0.808, 0.564)
Mg (0.192, 0.808, 0.936)
Mg (0.455, 0.545, 0.136)
Mg (0.455, 0.545, 0.364)
Mg (0.545, 0.455, 0.636)
Mg (0.545, 0.455, 0.864)
Mg (0.808, 0.192, 0.064)
Mg (0.808, 0.192, 0.436)
Hg (0.226, 0.774, 0.250)
Hg (0.774, 0.226, 0.750)
Bi (0.092, 0.908, 0.750)
Bi (0.373, 0.627, 0.558)
Bi (0.373, 0.627, 0.942)
Bi (0.627, 0.373, 0.058)
Bi (0.627, 0.373, 0.442)
Bi (0.908, 0.092, 0.250)



No. 10
A plane-wave DFT calculation with PBE was carried out for a geometry-optimized MgHgBi3 structure.

- Distance to the lowest polymorph of the same formula: 0.0 meV/atom

a = 5.572 Å, b = 5.572 Å, c = 5.572 Å
α = 90.00°, β = 90.00°, γ = 90.00°
Fractional positions:
Mg (0.000, 0.000, 0.000)
Hg (0.500, 0.500, 0.500)
Bi (0.000, 0.000, 0.500)
Bi (0.000, 0.500, 0.000)
Bi (0.500, 0.000, 0.000)



No. 11
A plane-wave DFT calculation with PBE was carried out for a geometry-optimized Mg2Hg2Bi structure.

- Distance to the lowest polymorph of the same formula: 14.4 meV/atom

a = 5.168 Å, b = 5.168 Å, c = 12.107 Å
α = 90.00°, β = 90.00°, γ = 120.00°
Fractional positions:
Mg (0.000, 0.000, 0.000)
Mg (0.000, 0.000, 0.500)
Mg (0.333, 0.667, 0.250)
Mg (0.667, 0.333, 0.750)
Hg (0.333, 0.667, 0.511)
Hg (0.333, 0.667, 0.989)
Hg (0.667, 0.333, 0.011)
Hg (0.667, 0.333, 0.489)
Bi (0.000, 0.000, 0.250)
Bi (0.000, 0.000, 0.750)



No. 12
A plane-wave DFT calculation with PBE was carried out for a geometry-optimized MgHg5Bi2 structure.

a = 4.557 Å, b = 4.624 Å, c = 11.025 Å
α = 78.07°, β = 78.47°, γ = 89.96°
Fractional positions:
Mg (0.000, 0.000, 0.000)
Hg (0.095, 0.608, 0.790)
Hg (0.407, 0.895, 0.209)
Hg (0.500, 0.500, 0.000)
Hg (0.593, 0.105, 0.791)
Hg (0.905, 0.392, 0.210)
Bi (0.251, 0.724, 0.500)
Bi (0.749, 0.276, 0.500)



Energy of formation, record by record: -0.17 -0.05 -0.12 -0.06 -0.19 -0.12 -0.06 -0.12 -0.10 0.46 -0.11 -0.01 eV per atom
Mass density, record by record: 8.1 8.5 10.0 8.5 8.3 9.1 9.1 6.0 5.8 8.2 7.8 10.8 g/cm³